[1]
# Pu3PtRh | Alexandria via LeMat-Bulk | PBE | relaxed
data_Pu3PtRh
_cell_length_a 4.094
_cell_length_b 8.305
_cell_length_c 3.479
_cell_angle_alpha 90.00
_cell_angle_beta 90.00
_cell_angle_gamma 90.00
_symmetry_space_group_name_H-M 'P 1'
_symmetry_Int_Tables_number 1
_symmetry_space_group_name_Hall 'P 1'
loop_
_atom_site_label
_atom_site_fract_x
_atom_site_fract_y
_atom_site_fract_z
Pu1 0.000 0.000 0.000
Pu2 0.500 0.319 0.004
Pu3 0.500 0.681 0.004
Pt1 0.000 0.500 0.504
Rh1 0.500 0.000 0.501
# space-group type	Pmm2 (25)
# N(E_F)	21.190	states/eV/f.u.
# polymorph energy (0 for the lowest one)	85	meV per atom
# theoretical density	14.5	g cm⁻³
# calculated total energy	-11.581	eV per atom
# DFT formation energy	-0.3033	eV per atom

***

[2]
# Pu6Pt5Rh | Alexandria via LeMat-Bulk | PBE | relaxed
data_Pu6Pt5Rh
_cell_length_a 4.964
_cell_length_b 6.960
_cell_length_c 7.826
_cell_angle_alpha 90.00
_cell_angle_beta 108.36
_cell_angle_gamma 90.00
_symmetry_space_group_name_H-M 'P 1'
_symmetry_Int_Tables_number 1
_symmetry_space_group_name_Hall 'P 1'
loop_
_atom_site_label
_atom_site_fract_x
_atom_site_fract_y
_atom_site_fract_z
Pu1 0.000 0.249 0.000
Pu2 0.000 0.751 0.000
Pu3 0.335 0.247 0.670
Pu4 0.335 0.753 0.670
Pu5 0.665 0.247 0.330
Pu6 0.665 0.753 0.330
Pt1 0.164 0.000 0.328
Pt2 0.169 0.500 0.338
Pt3 0.500 0.500 0.000
Pt4 0.831 0.500 0.662
Pt5 0.836 0.000 0.672
Rh1 0.500 0.000 0.000
# space-group type	P2/m (10)
# N(E_F)	55.220	states/eV/f.u.
# theoretical density	16.5	g cm⁻³
# calculated total energy	-10.980	eV per atom
# DFT formation energy	-0.6846	eV per atom

***

[3]
# Pu4PtRh | Alexandria via LeMat-Bulk | PBE | relaxed
data_Pu4PtRh
_cell_length_a 3.448
_cell_length_b 5.136
_cell_length_c 6.854
_cell_angle_alpha 84.88
_cell_angle_beta 76.48
_cell_angle_gamma 89.93
_symmetry_space_group_name_H-M 'P 1'
_symmetry_Int_Tables_number 1
_symmetry_space_group_name_Hall 'P 1'
loop_
_atom_site_label
_atom_site_fract_x
_atom_site_fract_y
_atom_site_fract_z
Pu1 0.000 0.000 0.000
Pu2 0.080 0.533 0.645
Pu3 0.290 0.985 0.313
Pu4 0.421 0.518 0.929
Pt1 0.770 0.472 0.291
Rh1 0.624 0.046 0.647
# space-group type	P1 (1)
# N(E_F)	20.715	states/eV/f.u.
# polymorph energy (0 for the lowest one)	0	meV per atom
# theoretical density	18.0	g cm⁻³
# calculated total energy	-12.167	eV per atom
# DFT formation energy	-0.3804	eV per atom

***

[4]
# Pu4PtRh | Alexandria via LeMat-Bulk | PBE | relaxed
data_Pu4PtRh
_cell_length_a 6.799
_cell_length_b 6.797
_cell_length_c 6.829
_cell_angle_alpha 90.00
_cell_angle_beta 90.69
_cell_angle_gamma 90.00
_symmetry_space_group_name_H-M 'P 1'
_symmetry_Int_Tables_number 1
_symmetry_space_group_name_Hall 'P 1'
loop_
_atom_site_label
_atom_site_fract_x
_atom_site_fract_y
_atom_site_fract_z
Pu1 0.249 0.249 0.245
Pu2 0.249 0.751 0.245
Pu3 0.251 0.251 0.755
Pu4 0.251 0.749 0.755
Pu5 0.749 0.251 0.245
Pu6 0.749 0.749 0.245
Pu7 0.751 0.249 0.755
Pu8 0.751 0.751 0.755
Pt1 0.000 0.000 0.500
Pt2 0.500 0.500 0.500
Rh1 0.000 0.500 0.000
Rh2 0.500 0.000 0.000
# space-group type	C2/m (12)
# N(E_F)	24.781	states/eV/f.u.
# polymorph energy (0 for the lowest one)	105	meV per atom
# theoretical density	13.4	g cm⁻³
# calculated total energy	-12.062	eV per atom
# DFT formation energy	-0.2755	eV per atom

***

[5]
# PuPtRh | Alexandria via LeMat-Bulk | PBE | relaxed
data_PuPtRh
_cell_length_a 8.065
_cell_length_b 3.730
_cell_length_c 4.171
_cell_angle_alpha 90.00
_cell_angle_beta 90.00
_cell_angle_gamma 90.00
_symmetry_space_group_name_H-M 'P 1'
_symmetry_Int_Tables_number 1
_symmetry_space_group_name_Hall 'P 1'
loop_
_atom_site_label
_atom_site_fract_x
_atom_site_fract_y
_atom_site_fract_z
Pu1 0.250 0.000 0.001
Pu2 0.750 0.000 0.999
Pt1 0.000 0.000 0.500
Pt2 0.500 0.000 0.500
Rh1 0.250 0.500 0.501
Rh2 0.750 0.500 0.499
# space-group type	Pmma (51)
# N(E_F)	8.712	states/eV/f.u.
# polymorph energy (0 for the lowest one)	311	meV per atom
# theoretical density	14.3	g cm⁻³
# calculated total energy	-9.624	eV per atom
# DFT formation energy	-0.3830	eV per atom

***

[6]
# Pu2Si3Pt12Rh | Alexandria via LeMat-Bulk | PBE | relaxed
data_Pu2Si3Pt12Rh
_cell_length_a 7.625
_cell_length_b 7.625
_cell_length_c 7.625
_cell_angle_alpha 64.99
_cell_angle_beta 64.99
_cell_angle_gamma 64.99
_symmetry_space_group_name_H-M 'P 1'
_symmetry_Int_Tables_number 1
_symmetry_space_group_name_Hall 'P 1'
loop_
_atom_site_label
_atom_site_fract_x
_atom_site_fract_y
_atom_site_fract_z
Pu1 0.112 0.112 0.112
Pu2 0.888 0.888 0.888
Si1 0.000 0.500 0.500
Si2 0.500 0.000 0.500
Si3 0.500 0.500 0.000
Pt1 0.116 0.637 0.637
Pt2 0.140 0.140 0.606
Pt3 0.140 0.606 0.140
Pt4 0.363 0.363 0.884
Pt5 0.363 0.884 0.363
Pt6 0.394 0.860 0.860
Pt7 0.606 0.140 0.140
Pt8 0.637 0.116 0.637
Pt9 0.637 0.637 0.116
Pt10 0.860 0.394 0.860
Pt11 0.860 0.860 0.394
Pt12 0.884 0.363 0.363
Rh1 0.500 0.500 0.500
# formation energy (no corrections)	-0.307	eV per atom
# space-group type	R-3m (166)
# N(E_F)	31.579	states/eV/f.u.
# theoretical density	14.4	g cm⁻³
# calculated total energy	-7.239	eV per atom

***

[7]
# Pu2Si4Pt3Rh | Alexandria via LeMat-Bulk | PBE | relaxed
data_Pu2Si4Pt3Rh
_cell_length_a 4.164
_cell_length_b 4.164
_cell_length_c 10.029
_cell_angle_alpha 90.00
_cell_angle_beta 90.00
_cell_angle_gamma 90.00
_symmetry_space_group_name_H-M 'P 1'
_symmetry_Int_Tables_number 1
_symmetry_space_group_name_Hall 'P 1'
loop_
_atom_site_label
_atom_site_fract_x
_atom_site_fract_y
_atom_site_fract_z
Pu1 0.000 0.500 0.245
Pu2 0.500 0.000 0.755
Si1 0.000 0.000 0.000
Si2 0.000 0.500 0.633
Si3 0.500 0.000 0.367
Si4 0.500 0.500 0.000
Pt1 0.000 0.500 0.874
Pt2 0.500 0.000 0.126
Pt3 0.500 0.500 0.500
Rh1 0.000 0.000 0.500
# formation energy (no corrections)	-0.907	eV per atom
# space-group type	P-4m2 (115)
# N(E_F)	27.225	states/eV/f.u.
# theoretical density	12.3	g cm⁻³
# calculated total energy	-8.490	eV per atom

***

[8]
# PuSi2PtRh | Alexandria via LeMat-Bulk | PBE | relaxed
data_PuSi2PtRh
_cell_length_a 4.031
_cell_length_b 4.031
_cell_length_c 10.358
_cell_angle_alpha 90.00
_cell_angle_beta 90.00
_cell_angle_gamma 90.00
_symmetry_space_group_name_H-M 'P 1'
_symmetry_Int_Tables_number 1
_symmetry_space_group_name_Hall 'P 1'
loop_
_atom_site_label
_atom_site_fract_x
_atom_site_fract_y
_atom_site_fract_z
Pu1 0.000 0.000 0.000
Pu2 0.500 0.500 0.500
Si1 0.000 0.000 0.385
Si2 0.000 0.000 0.615
Si3 0.500 0.500 0.115
Si4 0.500 0.500 0.885
Pt1 0.000 0.500 0.750
Pt2 0.500 0.000 0.250
Rh1 0.000 0.500 0.250
Rh2 0.500 0.000 0.750
# formation energy (no corrections)	-0.897	eV per atom
# space-group type	I-4m2 (119)
# N(E_F)	9.338	states/eV/f.u.
# theoretical density	11.8	g cm⁻³
# calculated total energy	-8.611	eV per atom

***

[9]
# SmPuPtRh | Alexandria via LeMat-Bulk | PBE | relaxed
data_SmPuPtRh
_cell_length_a 7.004
_cell_length_b 7.004
_cell_length_c 7.004
_cell_angle_alpha 90.00
_cell_angle_beta 90.00
_cell_angle_gamma 90.00
_symmetry_space_group_name_H-M 'P 1'
_symmetry_Int_Tables_number 1
_symmetry_space_group_name_Hall 'P 1'
loop_
_atom_site_label
_atom_site_fract_x
_atom_site_fract_y
_atom_site_fract_z
Sm1 0.000 0.000 0.000
Sm2 0.000 0.500 0.500
Sm3 0.500 0.000 0.500
Sm4 0.500 0.500 0.000
Pu1 0.000 0.000 0.500
Pu2 0.000 0.500 0.000
Pu3 0.500 0.000 0.000
Pu4 0.500 0.500 0.500
Pt1 0.250 0.250 0.250
Pt2 0.250 0.750 0.750
Pt3 0.750 0.250 0.750
Pt4 0.750 0.750 0.250
Rh1 0.250 0.250 0.750
Rh2 0.250 0.750 0.250
Rh3 0.750 0.250 0.250
Rh4 0.750 0.750 0.750
# space-group type	F-43m (216)
# N(E_F)	10.700	states/eV/f.u.
# polymorph energy (0 for the lowest one)	74	meV per atom
# theoretical density	13.4	g cm⁻³
# calculated total energy	-8.832	eV per atom
# DFT formation energy	-0.7213	eV per atom

***

[10]
# SmPuPtRh | Alexandria via LeMat-Bulk | PBE | relaxed
data_SmPuPtRh
_cell_length_a 4.221
_cell_length_b 3.856
_cell_length_c 11.040
_cell_angle_alpha 90.00
_cell_angle_beta 90.00
_cell_angle_gamma 90.00
_symmetry_space_group_name_H-M 'P 1'
_symmetry_Int_Tables_number 1
_symmetry_space_group_name_Hall 'P 1'
loop_
_atom_site_label
_atom_site_fract_x
_atom_site_fract_y
_atom_site_fract_z
Sm1 0.000 0.000 0.000
Sm2 0.000 0.500 0.500
Pu1 0.500 0.000 0.279
Pu2 0.500 0.500 0.779
Pt1 0.500 0.000 0.559
Pt2 0.500 0.500 0.059
Rh1 0.000 0.000 0.739
Rh2 0.000 0.500 0.239
# space-group type	Amm2 (38)
# N(E_F)	11.558	states/eV/f.u.
# polymorph energy (0 for the lowest one)	0	meV per atom
# theoretical density	12.8	g cm⁻³
# calculated total energy	-8.906	eV per atom
# DFT formation energy	-0.7953	eV per atom

***

[11]
# PuSnPtRh | Alexandria via LeMat-Bulk | PBE | relaxed
data_PuSnPtRh
_cell_length_a 6.784
_cell_length_b 6.784
_cell_length_c 6.784
_cell_angle_alpha 90.00
_cell_angle_beta 90.00
_cell_angle_gamma 90.00
_symmetry_space_group_name_H-M 'P 1'
_symmetry_Int_Tables_number 1
_symmetry_space_group_name_Hall 'P 1'
loop_
_atom_site_label
_atom_site_fract_x
_atom_site_fract_y
_atom_site_fract_z
Pu1 0.000 0.000 0.000
Pu2 0.000 0.500 0.500
Pu3 0.500 0.000 0.500
Pu4 0.500 0.500 0.000
Sn1 0.000 0.000 0.500
Sn2 0.000 0.500 0.000
Sn3 0.500 0.000 0.000
Sn4 0.500 0.500 0.500
Pt1 0.250 0.250 0.250
Pt2 0.250 0.750 0.750
Pt3 0.750 0.250 0.750
Pt4 0.750 0.750 0.250
Rh1 0.250 0.250 0.750
Rh2 0.250 0.750 0.250
Rh3 0.750 0.250 0.250
Rh4 0.750 0.750 0.750
# space-group type	F-43m (216)
# N(E_F)	9.710	states/eV/f.u.
# theoretical density	14.1	g cm⁻³
# calculated total energy	-8.463	eV per atom
# DFT formation energy	-0.5312	eV per atom

***

[12]
# SrPuPtRh | Alexandria via LeMat-Bulk | PBE | relaxed
data_SrPuPtRh
_cell_length_a 7.095
_cell_length_b 7.095
_cell_length_c 7.095
_cell_angle_alpha 90.00
_cell_angle_beta 90.00
_cell_angle_gamma 90.00
_symmetry_space_group_name_H-M 'P 1'
_symmetry_Int_Tables_number 1
_symmetry_space_group_name_Hall 'P 1'
loop_
_atom_site_label
_atom_site_fract_x
_atom_site_fract_y
_atom_site_fract_z
Sr1 0.000 0.000 0.000
Sr2 0.000 0.500 0.500
Sr3 0.500 0.000 0.500
Sr4 0.500 0.500 0.000
Pu1 0.000 0.000 0.500
Pu2 0.000 0.500 0.000
Pu3 0.500 0.000 0.000
Pu4 0.500 0.500 0.500
Pt1 0.250 0.250 0.250
Pt2 0.250 0.750 0.750
Pt3 0.750 0.250 0.750
Pt4 0.750 0.750 0.250
Rh1 0.250 0.250 0.750
Rh2 0.250 0.750 0.250
Rh3 0.750 0.250 0.250
Rh4 0.750 0.750 0.750
# space-group type	F-43m (216)
# N(E_F)	10.242	states/eV/f.u.
# theoretical density	11.7	g cm⁻³
# calculated total energy	-7.771	eV per atom
# DFT formation energy	-0.4200	eV per atom